(1)
Entry from Alexandria via LeMat-Bulk: a geometry-optimized NaLiZn2 structure (GGA-PBE).

Geometry as POSCAR:
```
NaLiZn2
1.0
-2.670 -1.586 1.138
0.526 -2.442 -2.168
3.967 -3.311 4.694
Li Na Zn
1 1 2
direct
0.500 0.500 0.000
0.500 0.500 0.500
0.000 0.000 0.191
0.000 0.000 0.809
```

DOS(E_F) in states/eV/f.u.: 0.9
Calculated formation energy in eV per atom: -0.026
VASP energy in eV per atom: -1.4716
Volume in A^3/atom: 19.09

=====

(2)
Entry from Alexandria via LeMat-Bulk: a geometry-optimized BaSc structure (GGA-PBE).

Geometry as POSCAR:
```
BaSc
1.0
6.751 0.000 0.000
0.000 6.751 0.000
0.000 0.000 6.751
Sc Ba
4 4
direct
0.609 0.391 0.891
0.391 0.891 0.609
0.891 0.609 0.391
0.109 0.109 0.109
0.908 0.092 0.592
0.592 0.908 0.092
0.408 0.408 0.408
0.092 0.592 0.908
```

DOS(E_F) in states/eV/f.u.: 4.4
Calculated formation energy in eV per atom: 0.551
VASP energy in eV per atom: -3.5760
Volume in A^3/atom: 38.45

=====

(3)
Entry from Alexandria via LeMat-Bulk: a geometry-optimized LiTiIn2 structure (GGA-PBE).

Geometry as POSCAR:
```
LiTiIn2
1.0
-2.971 0.721 0.624
-1.396 -4.591 -1.342
0.608 -1.557 4.694
In Li Ti
2 1 1
direct
0.000 0.500 0.000
0.000 0.000 0.500
0.500 0.000 0.000
0.500 0.500 0.500
```

DOS(E_F) in states/eV/f.u.: 1.8
Calculated formation energy in eV per atom: -0.213
VASP energy in eV per atom: -4.0345
Volume in A^3/atom: 19.37

=====

(4)
Entry from Alexandria via LeMat-Bulk: a geometry-optimized VAsP2S structure (GGA-PBE).

Geometry as POSCAR:
```
VAsP2S
1.0
-1.278 2.952 -3.404
-0.117 -3.559 -3.042
-4.138 -0.684 0.960
As V P S
1 1 2 1
direct
0.500 0.500 0.500
0.000 0.000 0.000
0.500 0.000 0.000
0.000 0.500 0.000
0.000 0.000 0.500
```

DOS(E_F) in states/eV/f.u.: 5.2
VASP energy in eV per atom: -5.3102
Volume in A^3/atom: 18.88

=====

(5)
Entry from Alexandria via LeMat-Bulk: a geometry-optimized LiAl2Au8 structure (GGA-PBE).

Geometry as POSCAR:
```
LiAl2Au8
1.0
-3.571 -2.083 -0.837
3.375 -4.192 -3.968
1.597 -1.347 7.171
Au Al Li
8 2 1
direct
0.392 0.538 0.783
0.676 0.933 0.351
0.324 0.067 0.649
0.850 0.785 0.699
0.958 0.268 0.917
0.608 0.462 0.217
0.150 0.215 0.301
0.042 0.732 0.083
0.784 0.345 0.567
0.216 0.655 0.433
0.500 0.000 0.000
```

DOS(E_F) in states/eV/f.u.: 3.5
Calculated formation energy in eV per atom: -0.306
VASP energy in eV per atom: -3.5442
Volume in A^3/atom: 17.11

=====

(6)
Entry from Alexandria via LeMat-Bulk: a geometry-optimized Na3InSe2 structure (GGA-PBE).

Geometry as POSCAR:
```
Na3InSe2
1.0
7.268 0.000 0.000
0.000 6.789 0.000
-3.634 -3.395 7.173
Na In Se
6 2 4
direct
0.765 0.515 0.529
0.500 0.250 0.000
0.765 0.015 0.529
0.500 0.750 0.000
0.235 0.985 0.471
0.235 0.485 0.471
0.000 0.000 0.000
0.000 0.500 0.000
0.570 0.361 0.722
0.430 0.639 0.278
0.848 0.139 0.278
0.152 0.861 0.722
```

DOS(E_F) in states/eV/f.u.: 1.2
VASP energy in eV per atom: -3.0293
Volume in A^3/atom: 29.49

=====

(7)
Entry from Alexandria via LeMat-Bulk: a geometry-optimized Cs3Na3Bi2 structure (GGA-PBE).

Geometry as POSCAR:
```
Cs3Na3Bi2
1.0
7.462 0.000 0.000
0.000 10.866 0.000
0.000 0.000 19.541
Na Cs Bi
12 12 8
direct
0.472 0.656 0.250
0.888 0.846 0.463
0.528 0.344 0.750
0.388 0.654 0.537
0.888 0.846 0.037
0.972 0.844 0.750
0.112 0.154 0.963
0.028 0.156 0.250
0.388 0.654 0.963
0.112 0.154 0.537
0.612 0.346 0.037
0.612 0.346 0.463
0.113 0.463 0.401
0.888 0.827 0.250
0.387 0.963 0.099
0.613 0.037 0.901
0.612 0.327 0.250
0.387 0.963 0.401
0.112 0.173 0.750
0.887 0.537 0.901
0.113 0.463 0.099
0.388 0.673 0.750
0.613 0.037 0.599
0.887 0.537 0.599
0.876 0.129 0.397
0.376 0.371 0.603
0.376 0.371 0.897
0.624 0.629 0.397
0.624 0.629 0.103
0.124 0.871 0.897
0.876 0.129 0.103
0.124 0.871 0.603
```

DOS(E_F) in states/eV/f.u.: 6.9
Calculated formation energy in eV per atom: -0.324
VASP energy in eV per atom: -2.1088
Volume in A^3/atom: 49.51

=====

(8)
Entry from Alexandria via LeMat-Bulk: a geometry-optimized BaHgS structure (GGA-PBE).

Geometry as POSCAR:
```
BaHgS
1.0
-0.215 -3.669 2.274
-1.299 -2.792 -5.778
8.537 -0.369 0.176
Hg S Ba
2 2 2
direct
0.473 0.084 0.056
0.861 0.173 0.401
0.769 0.597 0.566
0.760 0.500 0.069
0.267 0.569 0.822
0.285 0.693 0.323
```

VASP energy in eV per atom: -3.2659
Volume in A^3/atom: 39.32